CrInCu | GGA-PBE | optimized geometry

Lattice parameters (Å, degrees): 4.4373 4.4373 2.9779 90.00 90.00 120.00
Space group P-6m2 (No. 187)
Unique sites:
Cr1 0.0000 0.0000 0.0000
In1 0.6667 0.3333 0.5000
Cu1 0.3333 0.6667 0.5000

## Properties
Energy of formation from the pure elements ... 311.9 meV per atom

La6Tb2PmY | GGA-PBE | optimized geometry

Lattice parameters (Å, degrees): 11.404 7.197 9.046 90.00 104.22 90.00
Space group C2/m (No. 12)
Unique sites:
La1 0.132 0.000 0.429
La2 0.183 0.278 0.801
Tb1 0.087 0.500 0.166
Pm1 0.000 0.000 0.000
Y1 0.000 0.500 0.500

## Properties
Energy of formation from the pure elements ... 189.1 meV per atom

| no. | density (g/cm³) | volume (Å³/f.u.) | size of the total moment (μB/f.u.) |
| --- | --- | --- | --- |
| 1 | 7.53 | 50.8 | 3.62 |
| 2 | 6.39 | 359.8 | 0.00 |